Here is a relaxed Rb2Si2As crystal from Alexandria via LeMat-Bulk. Energies are from GGA-PBEsol.

Cell lengths 4.655, 4.655, 7.577 Å; angles 107.89, 107.89, 90.00 degrees
Positions (direct):
1 As 0.000 0.000 0.000
2 Si 0.578 0.578 0.157
3 Rb 0.750 0.250 0.500
4 Si 0.422 0.422 0.843
5 Rb 0.250 0.750 0.500

DOS(E_F) = 1.50 states/eV per cell
Raw formation energy = 287 kJ/mol of formula units
Space-group type = No. 139
Magnetic moment = 0.00 Bohr magnetons per cell